Entry 1:
Here is PmSbRhS after structural relaxation from Alexandria via LeMat-Bulk. Energies are from PBE.

abc: 4.6508 4.6508 8.4979
angles: 90.00 90.00 90.00
Closest atoms and distances in Å follow each position.
Fractional coordinates of all 8 atoms:
Pm 0.5000 0.0000 0.6753  4 S 2.76
Pm 0.0000 0.5000 0.3247  4 S 2.76
Sb 0.0000 0.5000 0.8522  4 Rh 2.64
Sb 0.5000 0.0000 0.1478  4 Rh 2.64
Rh 0.5000 0.5000 0.0000  4 Sb 2.64
Rh 0.0000 0.0000 0.0000  4 Sb 2.64
S 0.0000 0.0000 0.5000  4 Pm 2.76
S 0.5000 0.5000 0.5000  4 Pm 2.76

E_form (uncorrected)   -1.1294 eV/atom
Total energy   -6.217 eV per atom
SG   P4/nmm

---

Entry 2:
Here is Cu2SbAs after structural relaxation from Alexandria via LeMat-Bulk. Energies are from PBE.

abc: 2.8949 3.5753 7.2609
angles: 90.00 90.00 90.00
Closest atoms and distances in Å follow each position.
Fractional coordinates of all 4 atoms:
As 0.5000 0.5000 0.8535  5 Cu 2.52-2.60
Cu 0.0000 0.0000 0.0203  4 As 2.60, 6 Cu 2.65-2.89
Cu 0.5000 0.5000 0.2005  1 As 2.52, 4 Cu 2.65
Sb 0.0000 0.0000 0.4257  5 Cu 2.82-2.94, 2 Sb 2.89

E_form (uncorrected)   0.1199 eV/atom
Total energy   -4.121 eV per atom
SG   Pmm2
Energy relative to the lowest polymorph listed for this composition   45.5 meV/atom

---

Entry 3:
Here is Sc2NbCu after structural relaxation from Alexandria via LeMat-Bulk. Energies are from PBE.

abc: 3.0954 3.0954 7.8756
angles: 90.00 90.00 90.00
Closest atoms and distances in Å follow each position.
Fractional coordinates of all 4 atoms:
Sc 0.0000 0.0000 0.7748  4 Cu 2.82, 4 Nb 3.08, 4 Sc 3.10
Sc 0.0000 0.0000 0.2252  4 Cu 2.82, 4 Nb 3.08, 4 Sc 3.10
Nb 0.5000 0.5000 0.5000  8 Sc 3.08, 4 Nb 3.10
Cu 0.5000 0.5000 0.0000  8 Sc 2.82, 4 Cu 3.10

Total energy   -6.779 eV per atom
Calculated formation energy   -0.289 eV per formula unit
SG   P4/mmm
Energy relative to the lowest polymorph listed for this composition   0.0 meV/atom

---

Entry 4:
Here is AcNdBeN2 after structural relaxation from Alexandria via LeMat-Bulk. Energies are from PBE.

abc: 5.1132 5.5029 7.0703
angles: 90.01 90.00 90.00
Closest atoms and distances in Å follow each position.
Fractional coordinates of all 10 atoms:
Ac 0.0004 0.5000 0.7500  4 N 2.65
Ac 0.9996 0.5000 0.2500  4 N 2.65
Nd 0.4998 0.0000 0.2500  4 N 2.54-2.55
Nd 0.5002 0.0000 0.7500  4 N 2.54-2.55
Be 0.0000 0.0000 0.0000  2 N 1.55
Be 0.0000 0.0000 0.5000  2 N 1.55
N 0.7861 0.7996 0.9999  1 Be 1.55
N 0.7861 0.2004 0.5001  1 Be 1.55
N 0.2139 0.7996 0.4999  1 Be 1.55
N 0.2139 0.2004 0.0001  1 Be 1.55

E_form (uncorrected)   -0.7614 eV/atom
Total energy   -6.612 eV per atom
SG   Pccm

---

Repeat the second record exactly.
Here is Cu2SbAs after structural relaxation from Alexandria via LeMat-Bulk. Energies are from PBE.

abc: 2.8949 3.5753 7.2609
angles: 90.00 90.00 90.00
Closest atoms and distances in Å follow each position.
Fractional coordinates of all 4 atoms:
As 0.5000 0.5000 0.8535  5 Cu 2.52-2.60
Cu 0.0000 0.0000 0.0203  4 As 2.60, 6 Cu 2.65-2.89
Cu 0.5000 0.5000 0.2005  1 As 2.52, 4 Cu 2.65
Sb 0.0000 0.0000 0.4257  5 Cu 2.82-2.94, 2 Sb 2.89

E_form (uncorrected)   0.1199 eV/atom
Total energy   -4.121 eV per atom
SG   Pmm2
Energy relative to the lowest polymorph listed for this composition   45.5 meV/atom

---

What is the formula in the third record? Sc2NbCu

---

Which of these has the lowest total energy? Sc2NbCu

---

Which value of total energy does entry 4 give? -6.612 eV per atom